## In2HPt4 (PBE)

Data for In2HPt4 after structural relaxation.

The structure belongs to space group P2_1/m (No. 11); the cell edges are 5.0281, 5.6771 and 7.8807 Å and the angles 90.00°, 100.76° and 90.00°. The asymmetric unit holds In at (0.2412, 0.2500, 0.4025), In at (0.2560, 0.7500, 0.0658), H at (0.0845, 0.2500, 0.7588), Pt at (0.2055, 0.7500, 0.4211), Pt at (0.2771, 0.2500, 0.0603) and Pt at (0.2954, 0.5045, 0.7351).

Its volume is 15.786 Å³/atom. For the magnetization, the calculation gives 0.00 μB/cell. The total energy is -69.510 eV per cell.

## GaAg4Au3 (PBE)

Data for GaAg4Au3 after structural relaxation.

The structure belongs to space group C2/m (No. 12); the cell edges are 13.0616, 4.8320 and 4.8744 Å and the angles 90.00°, 111.27° and 90.00°. The asymmetric unit holds Ga at (0.0000, 0.0000, 0.0000), Ag at (0.1229, 0.0000, 0.6346), Ag at (0.2497, 0.0000, 0.2605), Au at (0.0000, 0.5000, 0.5000) and Au at (0.1228, 0.5000, 0.1181).

Its volume is 17.918 Å³/atom. The calculation puts the formation enthalpy at 0 K at -2 kJ per mole of atoms. The value obtained for the energy above the lowest structure with this stoichiometry is 0.0 meV/atom. For the magnetization, the calculation gives 0.00 μB/cell.

## TbDy2Sc3Bi6 (PBE)

Data for TbDy2Sc3Bi6 after structural relaxation.

The structure belongs to space group C2/m (No. 12); the cell edges are 7.5823, 13.1390 and 7.5684 Å and the angles 90.00°, 109.50° and 90.00°. The asymmetric unit holds Tb at (0.0000, 0.0000, 0.0000), Dy at (0.0000, 0.3333, 0.0000), Sc at (0.0000, 0.1664, 0.5000), Sc at (0.0000, 0.5000, 0.5000), Bi at (0.2446, 0.3330, 0.7349) and Bi at (0.2457, 0.0000, 0.7351).

Its volume is 29.614 Å³/atom. The calculation puts the formation enthalpy at 0 K at -73 kJ per mole of atoms. For the magnetization, the calculation gives 0.00 μB/cell.

Q: magnetization of number 2 (GaAg4Au3)?
A: 0.00 μB/cell

Q: Look up the volume of the second one.
A: 17.918 Å³/atom